Entry 1:
A plane-wave DFT calculation with PBE-GGA was carried out for a relaxed Li2PtPb crystal.

Unit cell a=4.008 b=4.157 c=5.063 alpha=114.24 beta=113.32 gamma=90.00
Fractional positions:
Pt 0.000 0.500 0.000
Li 0.747 0.747 0.493
Li 0.253 0.253 0.507
Pb 0.500 0.000 0.000

- Mass density: 10.0 g/cm³
- Fermi-level density of states: 1.64 states/eV/cell

=====

Entry 2:
A plane-wave DFT calculation with PBE-GGA was carried out for a relaxed LiPtPb2 crystal.

Unit cell a=4.944 b=4.944 c=4.944 alpha=60.00 beta=60.00 gamma=60.00
Fractional positions:
Li 0.000 0.000 0.000
Pt 0.500 0.500 0.500
Pb 0.250 0.250 0.250
Pb 0.750 0.750 0.750

- Mass density: 12.0 g/cm³
- ΔE to the lowest computed polymorph: 34 meV per atom
- Fermi-level density of states: 2.62 states/eV/cell

=====

Entry 3:
A plane-wave DFT calculation with PBE-GGA was carried out for a relaxed Li2PtPb crystal.

Unit cell a=3.461 b=3.461 c=5.994 alpha=90.00 beta=90.00 gamma=90.00
Fractional positions:
Pt 0.500 0.500 0.778
Li 0.500 0.500 0.225
Li 0.000 0.000 0.982
Pb 0.000 0.000 0.515

- Mass density: 9.6 g/cm³
- Fermi-level density of states: 1.67 states/eV/cell

=====

Entry 4:
A plane-wave DFT calculation with PBE-GGA was carried out for a relaxed LiPtPb3 crystal.

Unit cell a=5.455 b=5.455 c=5.455 alpha=90.00 beta=90.00 gamma=90.00
Fractional positions:
Pb 0.500 0.000 0.000
Pb 0.000 0.500 0.000
Pb 0.000 0.000 0.500
Pt 0.000 0.000 0.000
Li 0.500 0.500 0.500

- Mass density: 8.4 g/cm³
- ΔE to the lowest computed polymorph: 355 meV per atom
- Fermi-level density of states: 3.85 states/eV/cell

=====

Entry 5:
A plane-wave DFT calculation with PBE-GGA was carried out for a relaxed Li6Pt2Pb crystal.

Unit cell a=2.881 b=7.630 c=7.630 alpha=58.09 beta=83.07 gamma=83.07
Fractional positions:
Li 0.500 0.346 0.654
Li 0.362 0.358 0.991
Li 0.639 0.642 0.009
Li 0.362 0.991 0.358
Li 0.639 0.009 0.642
Li 0.500 0.654 0.346
Pt 0.092 0.344 0.344
Pt 0.908 0.656 0.656
Pb 0.000 0.000 0.000

- Mass density: 7.5 g/cm³
- Fermi-level density of states: 1.83 states/eV/cell

=====

Entry 6:
A plane-wave DFT calculation with PBE-GGA was carried out for a relaxed LiPt2Pb crystal.

Unit cell a=7.076 b=4.107 c=4.022 alpha=90.09 beta=55.23 gamma=125.60
Fractional positions:
Li 0.000 0.500 0.500
Pb 0.500 0.500 0.000
Pt 0.500 0.000 0.500
Pt 0.000 0.000 0.000

- Mass density: 14.8 g/cm³
- Fermi-level density of states: 1.30 states/eV/cell

=====

Entry 7:
A plane-wave DFT calculation with PBE-GGA was carried out for a relaxed LiPtPb4 crystal.

Unit cell a=6.290 b=6.290 c=6.290 alpha=60.00 beta=60.00 gamma=60.00
Fractional positions:
Pb 0.376 0.873 0.376
Pb 0.376 0.376 0.376
Pb 0.376 0.376 0.873
Pb 0.873 0.376 0.376
Pt 0.750 0.750 0.750
Li 0.000 0.000 0.000

- Mass density: 9.7 g/cm³
- Fermi-level density of states: 3.53 states/eV/cell

=====

Entry 8:
A plane-wave DFT calculation with PBE-GGA was carried out for a relaxed LiPtPb2 crystal.

Unit cell a=4.580 b=4.580 c=5.992 alpha=67.53 beta=67.53 gamma=60.00
Fractional positions:
Pb 0.267 0.267 0.199
Pb 0.067 0.067 0.800
Pt 0.669 0.669 0.993
Li 0.497 0.497 0.508

- Mass density: 10.5 g/cm³
- ΔE to the lowest computed polymorph: 0 meV per atom
- Fermi-level density of states: 1.64 states/eV/cell

=====

no.,ΔH_f (0 K) (meV/atom)
1,-400
2,-222
3,-302
4,139
5,-381
6,-376
7,369
8,-256